# 1
# CeGeP | Alexandria | PBE-GGA | optimized geometry
data_CeGeP
_cell_length_a 3.931
_cell_length_b 4.275
_cell_length_c 4.275
_cell_angle_alpha 120.00
_cell_angle_beta 90.00
_cell_angle_gamma 90.00
_symmetry_space_group_name_H-M 'P 1'
_symmetry_Int_Tables_number 1
loop_
_symmetry_equiv_pos_as_xyz
'x,y,z'
loop_
_atom_site_label
_atom_site_fract_x
_atom_site_fract_y
_atom_site_fract_z
_atom_site_occupancy
P1 0.833 0.000 0.000 1
Ge1 0.834 0.333 0.667 1
Ce1 0.333 0.667 0.333 1
# - calculated volume (A^3/atom) = 20.7
# - SG = P-6m2 (187)
# - energy of formation (eV/atom) = -0.723

# 2
# Ce6Ge2P | Alexandria | PBE-GGA | optimized geometry
data_Ce6Ge2P
_cell_length_a 4.113
_cell_length_b 8.093
_cell_length_c 7.882
_cell_angle_alpha 120.89
_cell_angle_beta 90.00
_cell_angle_gamma 90.00
_symmetry_space_group_name_H-M 'P 1'
_symmetry_Int_Tables_number 1
loop_
_symmetry_equiv_pos_as_xyz
'x,y,z'
loop_
_atom_site_label
_atom_site_fract_x
_atom_site_fract_y
_atom_site_fract_z
_atom_site_occupancy
Ce1 0.500 0.541 0.000 1
Ce2 0.500 0.406 0.401 1
Ce3 0.500 0.005 0.599 1
Ce4 0.000 0.296 0.000 1
Ce5 0.000 0.755 0.796 1
Ce6 0.000 0.959 0.204 1
Ge1 0.000 0.312 0.630 1
Ge2 0.000 0.683 0.370 1
P1 0.500 0.044 0.000 1
# - calculated volume (A^3/atom) = 25.0
# - SG = Amm2 (38)
# - energy of formation (eV/atom) = -0.687

# 3
# CeGe6P8 | Alexandria | PBE-GGA | optimized geometry
data_CeGe6P8
_cell_length_a 6.799
_cell_length_b 6.799
_cell_length_c 6.799
_cell_angle_alpha 95.68
_cell_angle_beta 95.68
_cell_angle_gamma 95.68
_symmetry_space_group_name_H-M 'P 1'
_symmetry_Int_Tables_number 1
loop_
_symmetry_equiv_pos_as_xyz
'x,y,z'
loop_
_atom_site_label
_atom_site_fract_x
_atom_site_fract_y
_atom_site_fract_z
_atom_site_occupancy
Ce1 0.000 0.000 0.000 1
Ge1 0.657 0.389 0.852 1
Ge2 0.389 0.852 0.657 1
Ge3 0.852 0.657 0.389 1
Ge4 0.343 0.611 0.148 1
Ge5 0.611 0.148 0.343 1
Ge6 0.148 0.343 0.611 1
P1 0.715 0.715 0.715 1
P2 0.285 0.285 0.285 1
P3 0.652 0.831 0.172 1
P4 0.831 0.172 0.652 1
P5 0.172 0.652 0.831 1
P6 0.348 0.169 0.828 1
P7 0.169 0.828 0.348 1
P8 0.828 0.348 0.169 1
# - calculated volume (A^3/atom) = 20.6
# - SG = R-3 (148)
# - energy of formation (eV/atom) = -0.041

# 4
# CeGe5P4 | Alexandria | PBE-GGA | optimized geometry
data_CeGe5P4
_cell_length_a 6.102
_cell_length_b 7.527
_cell_length_c 9.399
_cell_angle_alpha 90.00
_cell_angle_beta 90.00
_cell_angle_gamma 90.00
_symmetry_space_group_name_H-M 'P 1'
_symmetry_Int_Tables_number 1
loop_
_symmetry_equiv_pos_as_xyz
'x,y,z'
loop_
_atom_site_label
_atom_site_fract_x
_atom_site_fract_y
_atom_site_fract_z
_atom_site_occupancy
Ce1 0.847 0.000 0.000 1
Ce2 0.153 0.500 0.500 1
Ge1 0.296 0.700 0.775 1
Ge2 0.296 0.300 0.775 1
Ge3 0.695 0.500 0.000 1
Ge4 0.296 0.700 0.225 1
Ge5 0.296 0.300 0.225 1
Ge6 0.704 0.800 0.275 1
Ge7 0.704 0.200 0.275 1
Ge8 0.305 0.000 0.500 1
Ge9 0.704 0.200 0.725 1
Ge10 0.704 0.800 0.725 1
P1 0.142 0.000 0.733 1
P2 0.461 0.756 0.000 1
P3 0.461 0.244 0.000 1
P4 0.142 0.000 0.267 1
P5 0.858 0.500 0.233 1
P6 0.539 0.744 0.500 1
P7 0.539 0.256 0.500 1
P8 0.858 0.500 0.767 1
# - calculated volume (A^3/atom) = 21.6
# - SG = Pmmn (59)
# - energy of formation (eV/atom) = 0.014

# 5
# CePaGeP | Alexandria | PBE-GGA | optimized geometry
data_CePaGeP
_cell_length_a 3.981
_cell_length_b 3.982
_cell_length_c 7.511
_cell_angle_alpha 90.00
_cell_angle_beta 105.36
_cell_angle_gamma 120.01
_symmetry_space_group_name_H-M 'P 1'
_symmetry_Int_Tables_number 1
loop_
_symmetry_equiv_pos_as_xyz
'x,y,z'
loop_
_atom_site_label
_atom_site_fract_x
_atom_site_fract_y
_atom_site_fract_z
_atom_site_occupancy
Ce1 0.316 0.556 0.888 1
Pa1 0.958 0.377 0.350 1
Ge1 0.465 0.131 0.612 1
P1 0.138 0.967 0.120 1
# - calculated volume (A^3/atom) = 24.5
# - SG = R3m (160)
# - energy of formation (eV/atom) = -0.817

# 6
# Ce2GeP3Pd4 | Alexandria | PBE-GGA | optimized geometry
data_Ce2GeP3Pd4
_cell_length_a 4.266
_cell_length_b 4.266
_cell_length_c 9.850
_cell_angle_alpha 90.00
_cell_angle_beta 90.00
_cell_angle_gamma 90.00
_symmetry_space_group_name_H-M 'P 1'
_symmetry_Int_Tables_number 1
loop_
_symmetry_equiv_pos_as_xyz
'x,y,z'
loop_
_atom_site_label
_atom_site_fract_x
_atom_site_fract_y
_atom_site_fract_z
_atom_site_occupancy
Ce1 0.500 0.000 0.248 1
Ce2 0.000 0.500 0.752 1
Ge1 0.500 0.500 0.500 1
P1 0.000 0.000 0.500 1
P2 0.500 0.000 0.867 1
P3 0.000 0.500 0.133 1
Pd1 0.500 0.500 0.000 1
Pd2 0.000 0.000 0.000 1
Pd3 0.500 0.000 0.628 1
Pd4 0.000 0.500 0.372 1
# - calculated volume (A^3/atom) = 17.9
# - SG = P-4m2 (115)
# - energy of formation (eV/atom) = -0.889

# 7
# Ce2GePPt6 | Alexandria | PBE-GGA | optimized geometry
data_Ce2GePPt6
_cell_length_a 5.549
_cell_length_b 8.548
_cell_length_c 8.356
_cell_angle_alpha 90.00
_cell_angle_beta 90.00
_cell_angle_gamma 90.00
_symmetry_space_group_name_H-M 'P 1'
_symmetry_Int_Tables_number 1
loop_
_symmetry_equiv_pos_as_xyz
'x,y,z'
loop_
_atom_site_label
_atom_site_fract_x
_atom_site_fract_y
_atom_site_fract_z
_atom_site_occupancy
Ce1 0.500 0.737 0.252 1
Ce2 0.000 0.263 0.752 1
Ce3 0.500 0.737 0.748 1
Ce4 0.000 0.263 0.248 1
Ge1 0.000 0.723 0.500 1
Ge2 0.500 0.277 0.000 1
P1 0.500 0.264 0.500 1
P2 0.000 0.736 0.000 1
Pt1 0.500 0.126 0.259 1
Pt2 0.500 0.126 0.741 1
Pt3 0.000 0.874 0.241 1
Pt4 0.000 0.874 0.759 1
Pt5 0.251 0.984 0.500 1
Pt6 0.749 0.984 0.500 1
Pt7 0.250 0.483 0.500 1
Pt8 0.750 0.483 0.500 1
Pt9 0.750 0.517 0.000 1
Pt10 0.250 0.517 0.000 1
Pt11 0.249 0.016 0.000 1
Pt12 0.751 0.016 0.000 1
# - calculated volume (A^3/atom) = 19.8
# - SG = Pmmn (59)
# - energy of formation (eV/atom) = -0.880

# 8
# Ce2GeP3Pt4 | Alexandria | PBE-GGA | optimized geometry
data_Ce2GeP3Pt4
_cell_length_a 4.327
_cell_length_b 4.327
_cell_length_c 9.651
_cell_angle_alpha 90.00
_cell_angle_beta 90.00
_cell_angle_gamma 90.00
_symmetry_space_group_name_H-M 'P 1'
_symmetry_Int_Tables_number 1
loop_
_symmetry_equiv_pos_as_xyz
'x,y,z'
loop_
_atom_site_label
_atom_site_fract_x
_atom_site_fract_y
_atom_site_fract_z
_atom_site_occupancy
Ce1 0.500 0.000 0.250 1
Ce2 0.000 0.500 0.750 1
Ge1 0.500 0.500 0.500 1
P1 0.000 0.000 0.500 1
P2 0.500 0.000 0.870 1
P3 0.000 0.500 0.130 1
Pt1 0.500 0.500 0.000 1
Pt2 0.000 0.000 0.000 1
Pt3 0.500 0.000 0.626 1
Pt4 0.000 0.500 0.374 1
# - calculated volume (A^3/atom) = 18.1
# - SG = P-4m2 (115)
# - energy of formation (eV/atom) = -0.947

# 9
# CeGe2P2Pt7 | Alexandria | PBE-GGA | optimized geometry
data_CeGe2P2Pt7
_cell_length_a 3.922
_cell_length_b 3.922
_cell_length_c 15.237
_cell_angle_alpha 82.80
_cell_angle_beta 82.80
_cell_angle_gamma 89.34
_symmetry_space_group_name_H-M 'P 1'
_symmetry_Int_Tables_number 1
loop_
_symmetry_equiv_pos_as_xyz
'x,y,z'
loop_
_atom_site_label
_atom_site_fract_x
_atom_site_fract_y
_atom_site_fract_z
_atom_site_occupancy
Ce1 0.000 0.000 0.000 1
Ge1 0.757 0.757 0.432 1
Ge2 0.243 0.243 0.568 1
P1 0.617 0.617 0.756 1
P2 0.383 0.383 0.244 1
Pt1 0.500 0.500 0.000 1
Pt2 0.321 0.321 0.398 1
Pt3 0.679 0.679 0.602 1
Pt4 0.925 0.425 0.155 1
Pt5 0.425 0.925 0.155 1
Pt6 0.575 0.075 0.845 1
Pt7 0.075 0.575 0.845 1
# - calculated volume (A^3/atom) = 19.2
# - SG = C2/m (12)
# - energy of formation (eV/atom) = -0.534

# 10
# Ce3GeP2Rh9 | Alexandria | PBE-GGA | optimized geometry
data_Ce3GeP2Rh9
_cell_length_a 5.701
_cell_length_b 5.701
_cell_length_c 9.873
_cell_angle_alpha 90.00
_cell_angle_beta 90.00
_cell_angle_gamma 120.00
_symmetry_space_group_name_H-M 'P 1'
_symmetry_Int_Tables_number 1
loop_
_symmetry_equiv_pos_as_xyz
'x,y,z'
loop_
_atom_site_label
_atom_site_fract_x
_atom_site_fract_y
_atom_site_fract_z
_atom_site_occupancy
Ce1 0.333 0.667 0.623 1
Ce2 0.000 0.000 0.000 1
Ce3 0.667 0.333 0.377 1
Ge1 0.000 0.000 0.500 1
P1 0.333 0.667 0.160 1
P2 0.667 0.333 0.840 1
Rh1 0.838 0.162 0.692 1
Rh2 0.838 0.676 0.692 1
Rh3 0.324 0.162 0.692 1
Rh4 0.676 0.838 0.308 1
Rh5 0.162 0.324 0.308 1
Rh6 0.162 0.838 0.308 1
Rh7 0.500 0.000 0.000 1
Rh8 0.000 0.500 0.000 1
Rh9 0.500 0.500 0.000 1
# - calculated volume (A^3/atom) = 18.5
# - SG = P-3m1 (164)
# - energy of formation (eV/atom) = -0.692

# 11
# Ce2GePRh6 | Alexandria | PBE-GGA | optimized geometry
data_Ce2GePRh6
_cell_length_a 5.588
_cell_length_b 7.680
_cell_length_c 8.585
_cell_angle_alpha 90.00
_cell_angle_beta 90.00
_cell_angle_gamma 90.00
_symmetry_space_group_name_H-M 'P 1'
_symmetry_Int_Tables_number 1
loop_
_symmetry_equiv_pos_as_xyz
'x,y,z'
loop_
_atom_site_label
_atom_site_fract_x
_atom_site_fract_y
_atom_site_fract_z
_atom_site_occupancy
Ce1 0.500 0.732 0.260 1
Ce2 0.000 0.268 0.760 1
Ce3 0.500 0.732 0.740 1
Ce4 0.000 0.268 0.240 1
Ge1 0.000 0.722 0.500 1
Ge2 0.500 0.278 0.000 1
P1 0.500 0.232 0.500 1
P2 0.000 0.768 0.000 1
Rh1 0.500 0.110 0.250 1
Rh2 0.500 0.110 0.750 1
Rh3 0.000 0.890 0.250 1
Rh4 0.000 0.890 0.750 1
Rh5 0.246 0.996 0.500 1
Rh6 0.754 0.996 0.500 1
Rh7 0.244 0.458 0.500 1
Rh8 0.756 0.458 0.500 1
Rh9 0.744 0.542 0.000 1
Rh10 0.256 0.542 0.000 1
Rh11 0.254 0.004 0.000 1
Rh12 0.746 0.004 0.000 1
# - calculated volume (A^3/atom) = 18.4
# - SG = Pmmn (59)
# - energy of formation (eV/atom) = -0.711

# 12
# Ce2GeP3Rh4 | Alexandria | PBE-GGA | optimized geometry
data_Ce2GeP3Rh4
_cell_length_a 4.134
_cell_length_b 4.134
_cell_length_c 9.835
_cell_angle_alpha 90.00
_cell_angle_beta 90.00
_cell_angle_gamma 90.00
_symmetry_space_group_name_H-M 'P 1'
_symmetry_Int_Tables_number 1
loop_
_symmetry_equiv_pos_as_xyz
'x,y,z'
loop_
_atom_site_label
_atom_site_fract_x
_atom_site_fract_y
_atom_site_fract_z
_atom_site_occupancy
Ce1 0.500 0.000 0.250 1
Ce2 0.000 0.500 0.750 1
Ge1 0.500 0.500 0.500 1
P1 0.000 0.000 0.500 1
P2 0.500 0.000 0.864 1
P3 0.000 0.500 0.136 1
Rh1 0.500 0.500 0.000 1
Rh2 0.000 0.000 0.000 1
Rh3 0.500 0.000 0.628 1
Rh4 0.000 0.500 0.372 1
# - calculated volume (A^3/atom) = 16.8
# - SG = P-4m2 (115)
# - energy of formation (eV/atom) = -1.049